Computed, not measured: a relaxed structure of CsSbH2Pt at the GGA-PBE level of DFT.

Unit cell a=3.6996 b=4.9090 c=6.9573 alpha=99.23 beta=103.47 gamma=103.82
Last column: nearest neighbours and their distance in Å.
Element x y z (fractional)
1 Cs 0.4743 0.9054 0.4924  4 H 3.13-3.20
2 Sb 0.8391 0.2348 0.0759  1 H 1.97
3 Pt 0.3214 0.4589 0.8852  2 H 1.68-1.75
4 H 0.5750 0.8258 0.9433  1 Pt 1.75
5 H 0.9789 0.5457 0.7226  1 Pt 1.68

Values from the calculation:
DOS(E_F) in states/eV per atom: 0.06
Excess energy over the best structure of this formula in the dataset in meV per atom: 127